The following is a PBE calculation of an optimized crystal structure of LiLaPrCo, from Alexandria.

As for the formation energy: 0.07 eV per atom. The density of states at the Fermi level comes out at 1.0185 states/eV/atom.

The structure belongs to space group F-43m (No. 216); the cell edges are 7.205, 7.205 and 7.205 Å and the angles 90.00°, 90.00° and 90.00°. The asymmetric unit holds Li at (0.000, 0.000, 0.000), La at (0.250, 0.250, 0.750), Pr at (0.250, 0.250, 0.250) and Co at (0.000, 0.000, 0.500).

The following is a PBE calculation of an optimized crystal structure of LiLaSc2Co, from Alexandria.

As for the formation energy: 0.02 eV per atom. The calculation puts the energy relative to the lowest polymorph listed for this composition at 8 meV per atom. The density of states at the Fermi level comes out at 0.5318 states/eV/atom.

The structure belongs to space group P4/mmm (No. 123); the cell edges are 4.772, 4.772 and 5.103 Å and the angles 90.00°, 90.00° and 90.00°. The asymmetric unit holds Li at (0.000, 0.000, 0.000), La at (0.500, 0.500, 0.000), Sc at (0.000, 0.500, 0.500) and Co at (0.000, 0.000, 0.500).

The following is a PBE calculation of an optimized crystal structure of Li2LaScCo, from Alexandria.

As for the formation energy: 0.51 eV per atom. The density of states at the Fermi level comes out at 1.3921 states/eV/atom.

The structure belongs to space group P4/mmm (No. 123); the cell edges are 5.045, 5.045 and 4.525 Å and the angles 90.00°, 90.00° and 90.00°. The asymmetric unit holds Li at (0.000, 0.500, 0.000), La at (0.000, 0.000, 0.500), Sc at (0.500, 0.500, 0.000) and Co at (0.500, 0.500, 0.500).

The following is a PBE calculation of an optimized crystal structure of LiLaSc2Co, from Alexandria.

As for the formation energy: 0.01 eV per atom. The calculation puts the energy relative to the lowest polymorph listed for this composition at 0 meV per atom. The density of states at the Fermi level comes out at 0.8444 states/eV/atom.

The structure belongs to space group P4/mmm (No. 123); the cell edges are 4.986, 4.986 and 5.295 Å and the angles 90.00°, 90.00° and 90.00°. The asymmetric unit holds Li at (0.000, 0.000, 0.000), La at (0.500, 0.500, 0.000), Sc at (0.000, 0.500, 0.500) and Co at (0.500, 0.500, 0.500).